Entry 1:
An optimized crystal structure of Li2Al2FeO6, computed with PBE with a Hubbard U.

abc: 4.909 4.914 19.642
angles: 92.48 95.07 59.95
Atoms (fractional coordinates):
1 O 0.323 0.991 0.948
2 O 0.575 0.989 0.698
3 O 0.235 0.670 0.697
4 Li 0.875 0.000 0.625
5 Li 0.782 0.686 0.375
6 Li 0.367 0.008 0.125
7 O 0.344 0.674 0.052
8 Al 0.672 0.660 0.000
9 O 0.689 0.989 0.052
10 O 0.984 0.672 0.947
11 Li 0.124 0.008 0.375
12 O 0.279 0.333 0.801
13 O 0.074 0.989 0.198
14 O 0.595 0.672 0.802
15 Fe 0.499 0.999 0.500
16 O 0.846 0.670 0.553
17 Al 0.923 0.658 0.750
18 O 0.093 0.673 0.302
19 O 0.940 0.987 0.802
20 Li 0.281 0.684 0.875
21 O 0.893 0.331 0.699
22 O 0.642 0.333 0.949
23 Li 0.533 0.684 0.625
24 O 0.777 0.331 0.301
25 Al 0.169 0.658 0.500
26 Al 0.587 0.328 0.750
27 O 0.435 0.988 0.302
28 O 0.027 0.335 0.051
29 O 0.822 0.988 0.448
30 O 0.732 0.673 0.198
31 Li 0.030 0.687 0.125
32 O 0.483 0.673 0.448
33 O 0.525 0.331 0.551
34 Al 0.420 0.659 0.250
35 O 0.390 0.332 0.199
36 O 0.187 0.988 0.552
37 Fe 0.750 0.998 0.250
38 O 0.138 0.334 0.449
39 Al 0.336 0.330 0.000
40 Al 0.835 0.329 0.500
41 Li 0.622 0.005 0.875
42 Al 0.085 0.328 0.250
43 Fe 0.253 0.998 0.750
44 Fe 0.001 0.000 0.000

The electronic total energy comes out at -283.61 eV/cell. Its space group is P1.


Entry 2:
An optimized crystal structure of Li2AlFeO4, computed with PBE with a Hubbard U.

abc: 5.023 5.557 6.259
angles: 90.00 90.00 90.00
Atoms (fractional coordinates):
1 Fe 0.996 0.836 0.000
2 Al 0.999 0.831 0.500
3 Li 0.493 0.666 0.751
4 O 0.854 0.154 0.000
5 O 0.895 0.680 0.262
6 O 0.375 0.867 0.000
7 Li 0.993 0.334 0.749
8 O 0.395 0.320 0.762
9 O 0.895 0.680 0.738
10 Li 0.993 0.334 0.251
11 Fe 0.496 0.164 0.500
12 Li 0.493 0.666 0.249
13 O 0.875 0.133 0.500
14 O 0.395 0.320 0.238
15 Al 0.499 0.169 0.000
16 O 0.354 0.846 0.500

The electronic total energy comes out at -101.41 eV/cell. For the energy relative to the lowest polymorph listed for this composition, the calculation gives 9 meV per atom. Its space group is Pmn2_1.


Entry 3:
An optimized crystal structure of Li2AlFeO4, computed with PBE with a Hubbard U.

abc: 5.348 10.556 13.265
angles: 90.00 90.00 90.00
Atoms (fractional coordinates):
1 O 0.637 0.986 0.697
2 Li 0.620 0.788 0.700
3 O 0.489 0.784 0.322
4 Li 0.448 0.539 0.063
5 O 0.431 0.449 0.930
6 Fe 0.958 0.791 0.558
7 Li 0.054 0.043 0.437
8 Al 0.543 0.291 0.942
9 O 0.072 0.540 0.076
10 Al 0.044 0.963 0.187
11 Al 0.543 0.209 0.442
12 Al 0.044 0.537 0.687
13 Al 0.956 0.037 0.687
14 O 0.600 0.789 0.543
15 O 0.511 0.216 0.822
16 O 0.489 0.716 0.822
17 Fe 0.547 0.538 0.813
18 Li 0.448 0.961 0.563
19 Li 0.552 0.461 0.563
20 O 0.116 0.518 0.297
21 Fe 0.042 0.209 0.058
22 Fe 0.547 0.962 0.313
23 Li 0.121 0.712 0.299
24 O 0.928 0.460 0.576
25 O 0.123 0.792 0.953
26 Al 0.457 0.791 0.942
27 O 0.637 0.514 0.197
28 O 0.985 0.703 0.683
29 O 0.985 0.797 0.183
30 O 0.928 0.040 0.076
31 O 0.877 0.292 0.953
32 Fe 0.042 0.291 0.558
33 O 0.123 0.708 0.453
34 O 0.884 0.018 0.297
35 O 0.431 0.051 0.430
36 Li 0.054 0.457 0.937
37 Li 0.121 0.788 0.799
38 Li 0.620 0.712 0.200
39 O 0.015 0.297 0.183
40 Li 0.380 0.288 0.700
41 O 0.569 0.949 0.930
42 O 0.569 0.551 0.430
43 O 0.400 0.289 0.543
44 O 0.884 0.482 0.797
45 O 0.116 0.982 0.797
46 O 0.363 0.014 0.197
47 Li 0.879 0.212 0.299
48 Li 0.879 0.288 0.799
49 O 0.015 0.203 0.683
50 O 0.072 0.960 0.576
51 Fe 0.958 0.709 0.058
52 O 0.363 0.486 0.697
53 Fe 0.453 0.038 0.813
54 O 0.511 0.284 0.322
55 O 0.600 0.711 0.043
56 Al 0.457 0.709 0.442
57 Fe 0.453 0.462 0.313
58 Al 0.956 0.463 0.187
59 O 0.877 0.208 0.453
60 O 0.400 0.211 0.043
61 Li 0.946 0.957 0.937
62 Li 0.946 0.543 0.437
63 Li 0.552 0.039 0.063
64 Li 0.380 0.212 0.200

The electronic total energy comes out at -403.50 eV/cell. For the energy relative to the lowest polymorph listed for this composition, the calculation gives 42 meV per atom. Its space group is Pca2_1.


Entry 4:
An optimized crystal structure of Li2AlFeO4, computed with PBE with a Hubbard U.

abc: 5.355 5.355 6.402
angles: 90.00 90.00 89.36
Atoms (fractional coordinates):
1 Li 0.683 0.317 0.000
2 O 0.657 0.705 0.990
3 Li 0.815 0.815 0.250
4 Al 0.675 0.325 0.500
5 O 0.799 0.180 0.727
6 O 0.343 0.295 0.490
7 Fe 0.176 0.176 0.250
8 O 0.295 0.343 0.010
9 O 0.201 0.820 0.227
10 Li 0.317 0.683 0.500
11 Li 0.185 0.185 0.750
12 O 0.705 0.657 0.510
13 O 0.820 0.201 0.273
14 Al 0.325 0.675 0.000
15 O 0.180 0.799 0.773
16 Fe 0.824 0.824 0.750

The electronic total energy comes out at -101.45 eV/cell. For the energy relative to the lowest polymorph listed for this composition, the calculation gives 6 meV per atom. Its space group is C222_1.


Entry 5:
An optimized crystal structure of LiAl2FeO6, computed with PBE with a Hubbard U.

abc: 4.921 4.921 5.465
angles: 79.47 79.47 120.03
Atoms (fractional coordinates):
1 O 0.744 0.744 0.807
2 O 0.916 0.590 0.194
3 Al 0.668 0.332 0.000
4 O 0.084 0.410 0.806
5 Li 0.500 0.500 0.500
6 Al 0.332 0.668 0.000
7 Fe 0.000 0.000 0.000
8 O 0.256 0.256 0.193
9 O 0.410 0.084 0.806
10 O 0.590 0.916 0.194

The electronic total energy comes out at -65.06 eV/cell. Its space group is C2/m.


electronic total energy of number 5 (LiAl2FeO6)? -65.06 eV/cell


Which value of electronic total energy does entry 4 give? -101.45 eV/cell


The lowest electronic total energy belongs to which entry? number 3